Version a
First-principles (PBEsol) data for an optimized crystal structure of AlTlN2, as listed in the Alexandria database.

Unit cell a=6.2579 b=6.2579 c=6.2579 alpha=29.11 beta=29.11 gamma=29.11
Atoms (fractional coordinates):
Al 0.0000 0.0000 0.0000
Tl 0.5000 0.5000 0.5000
N 0.3864 0.3864 0.3864
N 0.6136 0.6136 0.6136

Volume in Å³/atom: 12.826
D(E_F) in states/eV/atom: 0.50
SG: R-3m

***

Version b
First-principles (PBEsol) data for an optimized crystal structure of AlTlN2, as listed in the Alexandria database.

Unit cell a=4.0465 b=4.0465 c=4.0465 alpha=60.00 beta=60.00 gamma=60.00
Atoms (fractional coordinates):
Al 0.0000 0.0000 0.0000
Tl 0.5000 0.5000 0.5000
N 0.2500 0.2500 0.2500
N 0.7500 0.7500 0.7500

Volume in Å³/atom: 11.712
D(E_F) in states/eV/atom: 0.54
SG: Fm-3m

***

Most stable structure: version a

***

Version a
First-principles (PBEsol) data for an optimized crystal structure of NaAl3Zn, as listed in the Alexandria database.

Unit cell a=5.0619 b=5.0619 c=5.0619 alpha=90.00 beta=90.00 gamma=90.00
Atoms (fractional coordinates):
Na 0.0000 0.0000 0.0000
Al 0.0000 0.0000 0.5000
Al 0.0000 0.5000 0.0000
Al 0.5000 0.0000 0.0000
Zn 0.5000 0.5000 0.5000

Volume in Å³/atom: 25.940
D(E_F) in states/eV/atom: 0.51
SG: Pm-3m

***

Version b
First-principles (PBEsol) data for an optimized crystal structure of NaAl3Zn, as listed in the Alexandria database.

Unit cell a=4.8289 b=4.8289 c=4.8289 alpha=90.00 beta=90.00 gamma=90.00
Atoms (fractional coordinates):
Na 0.0000 0.0000 0.0000
Al 0.0000 0.5000 0.5000
Al 0.5000 0.0000 0.5000
Al 0.5000 0.5000 0.0000
Zn 0.5000 0.5000 0.5000

Volume in Å³/atom: 22.520
D(E_F) in states/eV/atom: 0.42
SG: Pm-3m

***

Most stable structure: version b

***

Version a
First-principles (PBEsol) data for an optimized crystal structure of Sr3NdTaAl3O12, as listed in the Alexandria database.

Unit cell a=9.4203 b=9.4203 c=5.4003 alpha=90.10 beta=90.10 gamma=70.44
Atoms (fractional coordinates):
Sr 0.0000 0.0000 0.0000
Sr 0.0031 0.4750 0.5001
Sr 0.2621 0.2354 0.0012
Sr 0.5250 0.9969 0.4999
Sr 0.7646 0.7379 0.9988
Sr 0.7678 0.2322 0.5000
Nd 0.2644 0.7356 0.5000
Nd 0.5330 0.4670 0.0000
Ta 0.1351 0.6048 0.0013
Ta 0.3952 0.8649 0.9987
Al 0.1333 0.1148 0.5020
Al 0.3926 0.3555 0.5019
Al 0.6428 0.1142 0.9995
Al 0.6444 0.6074 0.4981
Al 0.8852 0.8667 0.4980
Al 0.8858 0.3572 0.0005
O 0.9997 0.4907 0.9994
O 0.0107 0.9893 0.5000
O 0.0120 0.2415 0.7478
O 0.0190 0.2354 0.2437
O 0.0187 0.7499 0.2460
O 0.0308 0.7376 0.7294
O 0.2501 0.9813 0.7540
O 0.2547 0.4875 0.2755
O 0.2624 0.9692 0.2706
O 0.2708 0.4726 0.7605
O 0.2726 0.2245 0.5008
O 0.2871 0.7129 0.0000
O 0.4937 0.5063 0.5000
O 0.5093 0.0003 0.0006
O 0.5125 0.7453 0.7245
O 0.5146 0.2515 0.2378
O 0.5236 0.2429 0.7481
O 0.5274 0.7292 0.2395
O 0.7485 0.4854 0.7622
O 0.7571 0.4764 0.2519
O 0.7585 0.9880 0.2522
O 0.7642 0.2358 0.0000
O 0.7646 0.9810 0.7563
O 0.7755 0.7274 0.4992

Volume in Å³/atom: 11.290
D(E_F) in states/eV/atom: 0.41
SG: C2

***

Version b
First-principles (PBEsol) data for an optimized crystal structure of Sr3NdTaAl3O12, as listed in the Alexandria database.

Unit cell a=9.4199 b=9.4199 c=5.3988 alpha=90.04 beta=90.04 gamma=109.80
Atoms (fractional coordinates):
Sr 0.1153 0.3876 0.5011
Sr 0.1257 0.8743 0.0000
Sr 0.3876 0.1153 0.5011
Sr 0.6398 0.8979 0.4992
Sr 0.8743 0.1257 0.0000
Sr 0.8979 0.6398 0.4992
Nd 0.3733 0.6576 0.0017
Nd 0.6576 0.3733 0.0017
Ta 0.2530 0.2530 0.9977
Ta 0.5154 0.5154 0.5006
Al 0.0040 0.0040 0.5026
Al 0.0084 0.5124 0.0004
Al 0.2553 0.7625 0.5009
Al 0.5124 0.0084 0.0004
Al 0.7618 0.7618 0.0053
Al 0.7625 0.2553 0.5009
O 0.1154 0.1154 0.7732
O 0.1333 0.8847 0.5008
O 0.1370 0.6334 0.2498
O 0.1379 0.3925 0.0011
O 0.1417 0.6370 0.7598
O 0.1474 0.1474 0.2839
O 0.3585 0.3585 0.6872
O 0.3817 0.6370 0.4987
O 0.3827 0.8780 0.2420
O 0.3862 0.8823 0.7514
O 0.3925 0.1379 0.0011
O 0.4157 0.4157 0.1809
O 0.6116 0.6116 0.8045
O 0.6276 0.8764 0.9997
O 0.6334 0.1370 0.2498
O 0.6370 0.1417 0.7598
O 0.6370 0.3817 0.4987
O 0.6559 0.6559 0.2839
O 0.8700 0.8700 0.7335
O 0.8764 0.6276 0.9997
O 0.8780 0.3827 0.2420
O 0.8823 0.3862 0.7514
O 0.8847 0.1333 0.5008
O 0.8955 0.8955 0.2316

Volume in Å³/atom: 11.268
D(E_F) in states/eV/atom: 0.35
SG: Cm

***

Most stable structure: version b

***

Version a
First-principles (PBEsol) data for an optimized crystal structure of AlNi2P, as listed in the Alexandria database.

Unit cell a=4.0053 b=4.0053 c=4.5157 alpha=100.13 beta=100.13 gamma=40.32
Atoms (fractional coordinates):
Al 0.0000 0.0000 0.0000
Ni 0.2467 0.2467 0.7373
Ni 0.7533 0.7533 0.2627
P 0.5000 0.5000 0.5000

Volume in Å³/atom: 11.511
D(E_F) in states/eV/atom: 0.41
SG: C2/m

***

Version b
First-principles (PBEsol) data for an optimized crystal structure of AlNi2P, as listed in the Alexandria database.

Unit cell a=4.0482 b=4.0482 c=4.0482 alpha=60.00 beta=60.00 gamma=60.00
Atoms (fractional coordinates):
Al 0.0000 0.0000 0.0000
Ni 0.5000 0.5000 0.5000
Ni 0.7500 0.7500 0.7500
P 0.2500 0.2500 0.2500

Volume in Å³/atom: 11.727
D(E_F) in states/eV/atom: 0.52
SG: F-43m

***

Most stable structure: version a